Record 1
First-principles (PBE-GGA) data for an optimized crystal structure of Ba2ScFeAu, as listed in Alexandria.

The structure in CIF format:
```
data_Ba2ScFeAu
_cell_length_a 6.2535
_cell_length_b 6.2535
_cell_length_c 4.8366
_cell_angle_alpha 90.00
_cell_angle_beta 90.00
_cell_angle_gamma 90.00
_symmetry_space_group_name_H-M 'P 1'
_symmetry_Int_Tables_number 1
_symmetry_space_group_name_Hall 'P 1'
loop_
_atom_site_label
_atom_site_type_symbol
_atom_site_fract_x
_atom_site_fract_y
_atom_site_fract_z
_atom_site_occupancy
Ba1 Ba 0.0000 0.5000 0.0000 1
Ba2 Ba 0.5000 0.0000 0.0000 1
Sc1 Sc 0.0000 0.0000 0.5000 1
Fe1 Fe 0.5000 0.5000 0.5000 1
Au1 Au 0.5000 0.5000 0.0000 1
```

Computed properties:
* E: -3.68 eV/atom
* spin magnetization: 0.75 μB per formula unit
* ΔE_f: 3.52 eV/f.u.

***

Record 2
First-principles (PBE-GGA) data for an optimized crystal structure of Ba2GaAu, as listed in Alexandria.

The structure in CIF format:
```
data_Ba2GaAu
_cell_length_a 10.9353
_cell_length_b 10.9353
_cell_length_c 10.9353
_cell_angle_alpha 24.14
_cell_angle_beta 24.14
_cell_angle_gamma 24.14
_symmetry_space_group_name_H-M 'P 1'
_symmetry_Int_Tables_number 1
_symmetry_space_group_name_Hall 'P 1'
loop_
_atom_site_label
_atom_site_type_symbol
_atom_site_fract_x
_atom_site_fract_y
_atom_site_fract_z
_atom_site_occupancy
Ba1 Ba 0.1070 0.1070 0.1070 1
Ba2 Ba 0.8930 0.8930 0.8930 1
Ga1 Ga 0.0000 0.0000 0.0000 1
Au1 Au 0.5000 0.5000 0.5000 1
```

Computed properties:
* E: -2.63 eV/atom
* spin magnetization: 0.00 μB per formula unit
* ΔE_f: -0.38 eV/f.u.

***

Record 3
First-principles (PBE-GGA) data for an optimized crystal structure of BaGa4Au6, as listed in Alexandria.

The structure in CIF format:
```
data_BaGa4Au6
_cell_length_a 6.9092
_cell_length_b 6.9092
_cell_length_c 6.9092
_cell_angle_alpha 117.28
_cell_angle_beta 117.28
_cell_angle_gamma 94.77
_symmetry_space_group_name_H-M 'P 1'
_symmetry_Int_Tables_number 1
_symmetry_space_group_name_Hall 'P 1'
loop_
_atom_site_label
_atom_site_type_symbol
_atom_site_fract_x
_atom_site_fract_y
_atom_site_fract_z
_atom_site_occupancy
Ba1 Ba 0.0000 0.0000 0.0000 1
Ga1 Ga 0.1377 0.1377 0.6061 1
Ga2 Ga 0.4684 0.8623 0.0000 1
Ga3 Ga 0.5316 0.5316 0.3939 1
Ga4 Ga 0.8623 0.4684 0.0000 1
Au1 Au 0.0000 0.5000 0.5000 1
Au2 Au 0.2212 0.5426 0.0000 1
Au3 Au 0.4574 0.4574 0.6786 1
Au4 Au 0.5000 0.0000 0.5000 1
Au5 Au 0.5426 0.2212 0.0000 1
Au6 Au 0.7788 0.7788 0.3214 1
```

Computed properties:
* E: -3.39 eV/atom
* spin magnetization: 0.00 μB per formula unit
* ΔE_f: -3.58 eV/f.u.

***

Record 4
First-principles (PBE-GGA) data for an optimized crystal structure of Ba2GaAu, as listed in Alexandria.

The structure in CIF format:
```
data_Ba2GaAu
_cell_length_a 6.3153
_cell_length_b 4.7942
_cell_length_c 9.5729
_cell_angle_alpha 90.00
_cell_angle_beta 102.99
_cell_angle_gamma 90.00
_symmetry_space_group_name_H-M 'P 1'
_symmetry_Int_Tables_number 1
_symmetry_space_group_name_Hall 'P 1'
loop_
_atom_site_label
_atom_site_type_symbol
_atom_site_fract_x
_atom_site_fract_y
_atom_site_fract_z
_atom_site_occupancy
Ba1 Ba 0.2181 0.2500 0.4244 1
Ba2 Ba 0.2812 0.7500 0.0692 1
Ba3 Ba 0.7188 0.2500 0.9308 1
Ba4 Ba 0.7819 0.7500 0.5756 1
Ga1 Ga 0.1757 0.2500 0.7723 1
Ga2 Ga 0.8243 0.7500 0.2277 1
Au1 Au 0.3322 0.7500 0.7222 1
Au2 Au 0.6678 0.2500 0.2778 1
```

Computed properties:
* E: -3.06 eV/atom
* spin magnetization: 0.00 μB per formula unit
* ΔE_f: -2.09 eV/f.u.

***

Record 5
First-principles (PBE-GGA) data for an optimized crystal structure of Ba12GaAu6, as listed in Alexandria.

The structure in CIF format:
```
data_Ba12GaAu6
_cell_length_a 10.0980
_cell_length_b 10.0980
_cell_length_c 10.0980
_cell_angle_alpha 109.47
_cell_angle_beta 109.47
_cell_angle_gamma 109.47
_symmetry_space_group_name_H-M 'P 1'
_symmetry_Int_Tables_number 1
_symmetry_space_group_name_Hall 'P 1'
loop_
_atom_site_label
_atom_site_type_symbol
_atom_site_fract_x
_atom_site_fract_y
_atom_site_fract_z
_atom_site_occupancy
Ba1 Ba 0.1229 0.8220 0.3009 1
Ba2 Ba 0.1780 0.3009 0.4789 1
Ba3 Ba 0.1780 0.6991 0.8771 1
Ba4 Ba 0.3009 0.1229 0.8220 1
Ba5 Ba 0.3009 0.4789 0.1780 1
Ba6 Ba 0.4789 0.1780 0.3009 1
Ba7 Ba 0.5211 0.8220 0.6991 1
Ba8 Ba 0.6991 0.5211 0.8220 1
Ba9 Ba 0.6991 0.8771 0.1780 1
Ba10 Ba 0.8220 0.3009 0.1229 1
Ba11 Ba 0.8220 0.6991 0.5211 1
Ba12 Ba 0.8771 0.1780 0.6991 1
Ga1 Ga 0.0000 0.0000 0.0000 1
Au1 Au 0.1262 0.6262 0.5000 1
Au2 Au 0.3738 0.5000 0.8738 1
Au3 Au 0.5000 0.1262 0.6262 1
Au4 Au 0.5000 0.8738 0.3738 1
Au5 Au 0.6262 0.5000 0.1262 1
Au6 Au 0.8738 0.3738 0.5000 1
```

Computed properties:
* E: -2.87 eV/atom
* spin magnetization: 0.01 μB per formula unit
* ΔE_f: -8.86 eV/f.u.

***

Record 6
First-principles (PBE-GGA) data for an optimized crystal structure of Ba4GaAu3, as listed in Alexandria.

The structure in CIF format:
```
data_Ba4GaAu3
_cell_length_a 4.6617
_cell_length_b 4.9032
_cell_length_c 12.3032
_cell_angle_alpha 90.00
_cell_angle_beta 90.00
_cell_angle_gamma 90.00
_symmetry_space_group_name_H-M 'P 1'
_symmetry_Int_Tables_number 1
_symmetry_space_group_name_Hall 'P 1'
loop_
_atom_site_label
_atom_site_type_symbol
_atom_site_fract_x
_atom_site_fract_y
_atom_site_fract_z
_atom_site_occupancy
Ba1 Ba 0.0000 0.0000 0.0000 1
Ba2 Ba 0.0000 0.5000 0.2727 1
Ba3 Ba 0.5000 0.0000 0.4940 1
Ba4 Ba 0.5000 0.5000 0.7768 1
Ga1 Ga 0.0000 0.0000 0.6961 1
Au1 Au 0.0000 0.5000 0.5771 1
Au2 Au 0.5000 0.0000 0.2122 1
Au3 Au 0.5000 0.5000 0.0616 1
```

Computed properties:
* E: -3.18 eV/atom
* spin magnetization: 0.00 μB per formula unit
* ΔE_f: -4.91 eV/f.u.

***

Record 7
First-principles (PBE-GGA) data for an optimized crystal structure of Ba2Ga2Au, as listed in Alexandria.

The structure in CIF format:
```
data_Ba2Ga2Au
_cell_length_a 6.7513
_cell_length_b 6.7513
_cell_length_c 7.5503
_cell_angle_alpha 106.27
_cell_angle_beta 106.27
_cell_angle_gamma 66.92
_symmetry_space_group_name_H-M 'P 1'
_symmetry_Int_Tables_number 1
_symmetry_space_group_name_Hall 'P 1'
loop_
_atom_site_label
_atom_site_type_symbol
_atom_site_fract_x
_atom_site_fract_y
_atom_site_fract_z
_atom_site_occupancy
Ba1 Ba 0.1138 0.2460 0.1646 1
Ba2 Ba 0.2460 0.1138 0.6646 1
Ba3 Ba 0.7540 0.8862 0.3354 1
Ba4 Ba 0.8862 0.7540 0.8354 1
Ga1 Ga 0.3092 0.5671 0.5611 1
Ga2 Ga 0.4329 0.6908 0.9389 1
Ga3 Ga 0.5671 0.3092 0.0611 1
Ga4 Ga 0.6908 0.4329 0.4389 1
Au1 Au 0.2903 0.7097 0.2500 1
Au2 Au 0.7097 0.2903 0.7500 1
```

Computed properties:
* E: -3.13 eV/atom
* spin magnetization: 0.00 μB per formula unit
* ΔE_f: -2.47 eV/f.u.

***

Record 8
First-principles (PBE-GGA) data for an optimized crystal structure of BaGaAu4, as listed in Alexandria.

The structure in CIF format:
```
data_BaGaAu4
_cell_length_a 5.7842
_cell_length_b 5.7842
_cell_length_c 5.7842
_cell_angle_alpha 60.00
_cell_angle_beta 60.00
_cell_angle_gamma 60.00
_symmetry_space_group_name_H-M 'P 1'
_symmetry_Int_Tables_number 1
_symmetry_space_group_name_Hall 'P 1'
loop_
_atom_site_label
_atom_site_type_symbol
_atom_site_fract_x
_atom_site_fract_y
_atom_site_fract_z
_atom_site_occupancy
Ba1 Ba 0.0000 0.0000 0.0000 1
Ga1 Ga 0.2500 0.2500 0.2500 1
Au1 Au 0.1273 0.6242 0.6242 1
Au2 Au 0.6242 0.1273 0.6242 1
Au3 Au 0.6242 0.6242 0.1273 1
Au4 Au 0.6242 0.6242 0.6242 1
```

Computed properties:
* E: -3.31 eV/atom
* spin magnetization: 0.00 μB per formula unit
* ΔE_f: -1.81 eV/f.u.

***

Record 9
First-principles (PBE-GGA) data for an optimized crystal structure of Ba2Ga2Au7, as listed in Alexandria.

The structure in CIF format:
```
data_Ba2Ga2Au7
_cell_length_a 8.1231
_cell_length_b 8.1231
_cell_length_c 5.2712
_cell_angle_alpha 93.95
_cell_angle_beta 93.95
_cell_angle_gamma 125.46
_symmetry_space_group_name_H-M 'P 1'
_symmetry_Int_Tables_number 1
_symmetry_space_group_name_Hall 'P 1'
loop_
_atom_site_label
_atom_site_type_symbol
_atom_site_fract_x
_atom_site_fract_y
_atom_site_fract_z
_atom_site_occupancy
Ba1 Ba 0.1694 0.8306 0.0000 1
Ba2 Ba 0.8306 0.1694 0.0000 1
Ga1 Ga 0.3335 0.3335 0.7906 1
Ga2 Ga 0.6665 0.6665 0.2094 1
Au1 Au 0.0000 0.0000 0.5000 1
Au2 Au 0.1510 0.4809 0.5749 1
Au3 Au 0.3206 0.3206 0.2639 1
Au4 Au 0.4809 0.1510 0.5749 1
Au5 Au 0.5191 0.8490 0.4251 1
Au6 Au 0.6794 0.6794 0.7361 1
Au7 Au 0.8490 0.5191 0.4251 1
```

Computed properties:
* E: -3.44 eV/atom
* spin magnetization: 0.00 μB per formula unit
* ΔE_f: -5.04 eV/f.u.

***

Record 10
First-principles (PBE-GGA) data for an optimized crystal structure of Ba7Ga2Au2, as listed in Alexandria.

The structure in CIF format:
```
data_Ba7Ga2Au2
_cell_length_a 7.8217
_cell_length_b 7.8217
_cell_length_c 8.2246
_cell_angle_alpha 90.00
_cell_angle_beta 90.00
_cell_angle_gamma 110.03
_symmetry_space_group_name_H-M 'P 1'
_symmetry_Int_Tables_number 1
_symmetry_space_group_name_Hall 'P 1'
loop_
_atom_site_label
_atom_site_type_symbol
_atom_site_fract_x
_atom_site_fract_y
_atom_site_fract_z
_atom_site_occupancy
Ba1 Ba 0.0000 0.0000 0.0000 1
Ba2 Ba 0.0000 0.5000 0.2707 1
Ba3 Ba 0.0000 0.5000 0.7293 1
Ba4 Ba 0.5000 0.0000 0.2707 1
Ba5 Ba 0.5000 0.0000 0.7293 1
Ba6 Ba 0.5000 0.5000 0.2637 1
Ba7 Ba 0.5000 0.5000 0.7363 1
Ga1 Ga 0.1433 0.1433 0.5000 1
Ga2 Ga 0.8567 0.8567 0.5000 1
Au1 Au 0.2983 0.7017 0.0000 1
Au2 Au 0.7017 0.2983 0.0000 1
```

Computed properties:
* E: -2.68 eV/atom
* spin magnetization: 0.00 μB per formula unit
* ΔE_f: -3.38 eV/f.u.

***

Record 11
First-principles (PBE-GGA) data for an optimized crystal structure of Ba2GaAu, as listed in Alexandria.

The structure in CIF format:
```
data_Ba2GaAu
_cell_length_a 4.7348
_cell_length_b 4.7348
_cell_length_c 8.8899
_cell_angle_alpha 105.12
_cell_angle_beta 105.12
_cell_angle_gamma 59.97
_symmetry_space_group_name_H-M 'P 1'
_symmetry_Int_Tables_number 1
_symmetry_space_group_name_Hall 'P 1'
loop_
_atom_site_label
_atom_site_type_symbol
_atom_site_fract_x
_atom_site_fract_y
_atom_site_fract_z
_atom_site_occupancy
Ba1 Ba 0.0000 0.0000 0.0000 1
Ba2 Ba 0.1611 0.1611 0.4935 1
Ga1 Ga 0.4140 0.4140 0.2473 1
Au1 Au 0.7472 0.7472 0.2466 1
```

Computed properties:
* E: -3.06 eV/atom
* spin magnetization: 0.00 μB per formula unit
* ΔE_f: -2.09 eV/f.u.

***

Record 12
First-principles (PBE-GGA) data for an optimized crystal structure of BaGa3Au, as listed in Alexandria.

The structure in CIF format:
```
data_BaGa3Au
_cell_length_a 9.4294
_cell_length_b 9.4294
_cell_length_c 6.0379
_cell_angle_alpha 90.00
_cell_angle_beta 90.00
_cell_angle_gamma 153.25
_symmetry_space_group_name_H-M 'P 1'
_symmetry_Int_Tables_number 1
_symmetry_space_group_name_Hall 'P 1'
loop_
_atom_site_label
_atom_site_type_symbol
_atom_site_fract_x
_atom_site_fract_y
_atom_site_fract_z
_atom_site_occupancy
Ba1 Ba 0.0736 0.9264 0.7500 1
Ba2 Ba 0.9264 0.0736 0.2500 1
Ga1 Ga 0.1599 0.8401 0.2500 1
Ga2 Ga 0.2942 0.7058 0.0219 1
Ga3 Ga 0.2942 0.7058 0.4781 1
Ga4 Ga 0.7058 0.2942 0.5219 1
Ga5 Ga 0.7058 0.2942 0.9781 1
Ga6 Ga 0.8401 0.1599 0.7500 1
Au1 Au 0.4270 0.5730 0.7500 1
Au2 Au 0.5730 0.4270 0.2500 1
```

Computed properties:
* E: -3.22 eV/atom
* spin magnetization: 0.00 μB per formula unit
* ΔE_f: -1.84 eV/f.u.

***

What did the sixth record say?
First-principles (PBE-GGA) data for an optimized crystal structure of Ba4GaAu3, as listed in Alexandria.

The structure in CIF format:
```
data_Ba4GaAu3
_cell_length_a 4.6617
_cell_length_b 4.9032
_cell_length_c 12.3032
_cell_angle_alpha 90.00
_cell_angle_beta 90.00
_cell_angle_gamma 90.00
_symmetry_space_group_name_H-M 'P 1'
_symmetry_Int_Tables_number 1
_symmetry_space_group_name_Hall 'P 1'
loop_
_atom_site_label
_atom_site_type_symbol
_atom_site_fract_x
_atom_site_fract_y
_atom_site_fract_z
_atom_site_occupancy
Ba1 Ba 0.0000 0.0000 0.0000 1
Ba2 Ba 0.0000 0.5000 0.2727 1
Ba3 Ba 0.5000 0.0000 0.4940 1
Ba4 Ba 0.5000 0.5000 0.7768 1
Ga1 Ga 0.0000 0.0000 0.6961 1
Au1 Au 0.0000 0.5000 0.5771 1
Au2 Au 0.5000 0.0000 0.2122 1
Au3 Au 0.5000 0.5000 0.0616 1
```

Computed properties:
* E: -3.18 eV/atom
* spin magnetization: 0.00 μB per formula unit
* ΔE_f: -4.91 eV/f.u.